# SiIr2Pb

Crystalline SiIr2Pb at its relaxed geometry (PBE-GGA, the Alexandria database).

a b c (Å): 4.927 4.927 4.927
angles (deg): 136.85 115.97 80.36
Atoms (fractional coordinates):
Ir 0.052 0.052 0.000
Ir 0.448 0.448 0.000
Pb 0.750 0.250 0.500
Si 0.250 0.750 0.500

Properties
The raw formation energy comes out at 0.18 eV per atom. Its symmetry is Immm, No. 71. The crystal system is orthorhombic. The final energy comes out at -26.1 eV for the cell shown. As for the polymorph energy (0 for the lowest one): 301.9 meV per atom.